# 1
Entry from the Alexandria database: a geometry-optimized Li2Tb2NdBi2 structure (PBE).

Cell lengths 4.906, 4.906, 9.455 Å; angles 74.96, 74.96, 60.00 degrees
Last column: magnetic moment on the atom in μB.
Fractional coordinates of all 7 atoms:
Li1 0.587 0.587 0.240  0.01
Li2 0.413 0.413 0.760  0.01
Tb1 0.132 0.132 0.605  0.30
Tb2 0.868 0.868 0.395  0.30
Nd1 0.000 0.000 0.000  0.01
Bi1 0.737 0.737 0.788  -0.01
Bi2 0.263 0.263 0.212  -0.01

Summary:
The calculation puts the magnetic moment at 0.91 Bohr magnetons per cell. Its formation enthalpy at 0 K is -418 meV/atom. The calculation puts the calculated density at 7.89 g/cm³. Its volume is 26.862 Å³ per atom. Its space group is R-3m.

---

# 2
Entry from the Alexandria database: a geometry-optimized SrSnSbO6 structure (PBE).

Cell lengths 5.462, 5.462, 10.739 Å; angles 90.00, 90.00, 120.00 degrees
Last column: magnetic moment on the atom in μB.
Fractional coordinates of all 18 atoms:
Sr1 0.000 0.000 0.000  0.00
Sr2 0.000 0.000 0.500  0.00
Sn1 0.667 0.333 0.250  -0.01
Sn2 0.333 0.667 0.750  -0.01
Sb1 0.333 0.667 0.250  -0.02
Sb2 0.667 0.333 0.750  -0.02
O1 0.624 0.635 0.146  0.15
O2 0.012 0.376 0.146  0.15
O3 0.376 0.012 0.646  0.15
O4 0.988 0.624 0.854  0.15
O5 0.365 0.376 0.354  0.15
O6 0.012 0.635 0.354  0.15
O7 0.635 0.012 0.854  0.15
O8 0.624 0.988 0.354  0.15
O9 0.988 0.365 0.646  0.15
O10 0.365 0.988 0.146  0.15
O11 0.635 0.624 0.646  0.15
O12 0.376 0.365 0.854  0.15

Summary:
The calculation puts the magnetic moment at 2.11 Bohr magnetons per cell. The calculation puts the energy relative to the elements, uncorrected at -1.73 eV per atom. The calculation puts the calculated density at 5.08 g/cm³. Its volume is 15.417 Å³ per atom. Its space group is P-31c.

---

# 3
Entry from the Alexandria database: a geometry-optimized MgSiBr2 structure (PBE).

Cell lengths 5.450, 4.819, 4.760 Å; angles 60.68, 90.00, 90.00 degrees
Fractional coordinates of all 4 atoms:
Br1 0.000 0.962 0.957
Br2 0.500 0.292 0.292
Mg1 0.000 0.628 0.625
Si1 0.500 0.619 0.626

Summary:
The calculation puts the magnetic moment at 0.00 Bohr magnetons per cell. The value obtained for the relative energy among the computed polymorphs is 0.0022 eV per atom. The calculation puts the energy relative to the elements, uncorrected at -0.35 eV per atom. The calculation puts the calculated density at 3.23 g/cm³. Its volume is 27.252 Å³ per atom. Its space group is Pm.